Run a
Below is a relaxed structure of SrHgSeO, with properties calculated at the PBE-GGA level.

**SG**: No. 129

Cell: 4.3972 4.3972 9.4324 Å, 90.00 90.00 90.00°
Positions (direct):
Sr 0.7500 0.7500 0.2063
Hg 0.2500 0.2500 0.4107
O 0.7500 0.2500 0.5000
Hg 0.7500 0.7500 0.5893
Se 0.2500 0.2500 0.1319
O 0.2500 0.7500 0.5000
Se 0.7500 0.7500 0.8681
Sr 0.2500 0.2500 0.7937

***

Run b
Below is a relaxed structure of SrHgSeO, with properties calculated at the PBE-GGA level.

**SG**: No. 129

Cell: 5.0163 5.0163 8.0262 Å, 90.00 90.00 90.00°
Positions (direct):
Sr 0.7500 0.7500 0.1869
Hg 0.7500 0.7500 0.6520
Sr 0.2500 0.2500 0.8131
O 0.7500 0.7500 0.9153
Hg 0.2500 0.2500 0.3480
Se 0.2500 0.7500 0.5000
O 0.2500 0.2500 0.0847
Se 0.7500 0.2500 0.5000

***

Run c
Below is a relaxed structure of SrHgSeO, with properties calculated at the PBE-GGA level.

**SG**: No. 129

Cell: 3.9669 3.9669 11.1661 Å, 90.00 90.00 90.00°
Positions (direct):
Sr 0.7500 0.7500 0.3701
O 0.7500 0.7500 0.5864
Se 0.2500 0.2500 0.2329
O 0.2500 0.2500 0.4136
Sr 0.2500 0.2500 0.6299
Hg 0.2500 0.7500 0.0000
Se 0.7500 0.7500 0.7671
Hg 0.7500 0.2500 0.0000

***

Which one sits at the top of the stability order? run c does.

***

Run a
Below is a relaxed structure of KSnAuSe3, with properties calculated at the PBE-GGA level.

**SG**: No. 62

Cell: 10.1453 4.4055 15.2284 Å, 90.00 90.00 90.00°
Positions (direct):
Au 0.1170 0.7500 0.6613
Au 0.3830 0.2500 0.1613
Se 0.9466 0.7500 0.4138
Se 0.0534 0.2500 0.5862
K 0.5295 0.7500 0.3100
Se 0.1194 0.2500 0.0063
Sn 0.7598 0.7500 0.5363
Se 0.2207 0.2500 0.2949
Sn 0.2402 0.2500 0.4637
Se 0.8806 0.7500 0.9937
Se 0.5534 0.2500 0.9138
Se 0.7207 0.2500 0.2051
K 0.4705 0.2500 0.6900
Au 0.8830 0.2500 0.3387
Au 0.6170 0.7500 0.8387
K 0.9705 0.2500 0.8100
Se 0.3806 0.7500 0.5063
Se 0.7793 0.7500 0.7051
Sn 0.2598 0.7500 0.9637
Se 0.4466 0.7500 0.0862
Se 0.2793 0.7500 0.7949
Sn 0.7402 0.2500 0.0363
Se 0.6194 0.2500 0.4937
K 0.0295 0.7500 0.1900

***

Run b
Below is a relaxed structure of KSnAuSe3, with properties calculated at the PBE-GGA level.

**SG**: No. 62

Cell: 15.3803 4.1538 11.1045 Å, 90.00 90.00 90.00°
Positions (direct):
K 0.7678 0.2500 0.5051
Se 0.0961 0.7500 0.0523
Se 0.6139 0.2500 0.7410
K 0.7322 0.7500 0.0051
Se 0.8948 0.7500 0.6642
Au 0.5580 0.2500 0.9516
Se 0.3948 0.7500 0.8358
Se 0.8861 0.7500 0.2410
Sn 0.4906 0.2500 0.3418
Sn 0.0094 0.7500 0.8418
Au 0.4420 0.7500 0.0484
Au 0.0580 0.2500 0.5484
Sn 0.5094 0.7500 0.6582
Se 0.6052 0.2500 0.1642
Sn 0.9906 0.2500 0.1582
Se 0.1052 0.2500 0.3359
Au 0.9420 0.7500 0.4516
Se 0.5961 0.7500 0.4477
Se 0.1139 0.2500 0.7590
Se 0.3861 0.7500 0.2590
Se 0.9039 0.2500 0.9477
Se 0.4039 0.2500 0.5523
K 0.2322 0.7500 0.4949
K 0.2678 0.2500 0.9949

***

Which one sits at the top of the stability order? run b does.

***

Run a
Below is a relaxed structure of NiB3, with properties calculated at the PBE-GGA level.

**Spin magnetization**: 0.002 μB per cell
**SG**: No. 194

Cell: 4.5126 4.5126 3.2745 Å, 90.00 90.00 120.00°
Positions (direct):
Ni 0.3333 0.6667 0.7500
B 0.8674 0.1326 0.7500
B 0.1326 0.2652 0.2500
B 0.2652 0.1326 0.7500
B 0.8674 0.7348 0.7500
B 0.1326 0.8674 0.2500
B 0.7348 0.8674 0.2500
Ni 0.6667 0.3333 0.2500

***

Run b
Below is a relaxed structure of NiB3, with properties calculated at the PBE-GGA level.

**Spin magnetization**: 0.003 μB per cell
**SG**: No. 221

Cell: 3.0442 3.0442 3.0442 Å, 90.00 90.00 90.00°
Positions (direct):
B 0.0000 0.5000 0.5000
B 0.5000 0.5000 0.0000
B 0.5000 0.0000 0.5000
Ni 0.0000 0.0000 0.0000

***

Which one sits at the top of the stability order? run a does.

***

Run a
Below is a relaxed structure of SmFeHg, with properties calculated at the PBE-GGA level.

**Spin magnetization**: 2.118 μB per cell
**SG**: No. 216

Cell: 4.8594 4.8594 4.8594 Å, 60.00 60.00 60.00°
Positions (direct):
Fe 0.2500 0.2500 0.2500
Hg 0.7500 0.7500 0.7500
Sm 0.0000 0.0000 0.0000

***

Run b
Below is a relaxed structure of SmFeHg, with properties calculated at the PBE-GGA level.

**Spin magnetization**: 2.277 μB per cell
**SG**: No. 216

Cell: 4.8067 4.8067 4.8067 Å, 60.00 60.00 60.00°
Positions (direct):
Hg 0.0000 0.0000 0.0000
Fe 0.2500 0.2500 0.2500
Sm 0.7500 0.7500 0.7500

***

Which one sits at the top of the stability order? run b does.

***

Run a
Below is a relaxed structure of RbPmSO, with properties calculated at the PBE-GGA level.

**Spin magnetization**: 0.005 μB per cell
**SG**: No. 129

Cell: 4.2319 4.2319 10.0408 Å, 90.00 90.00 90.00°
Positions (direct):
S 0.2500 0.2500 0.7294
Rb 0.2500 0.7500 0.5000
Rb 0.7500 0.2500 0.5000
Pm 0.7500 0.7500 0.8967
Pm 0.2500 0.2500 0.1033
O 0.7500 0.2500 0.0000
O 0.2500 0.7500 0.0000
S 0.7500 0.7500 0.2706

***

Run b
Below is a relaxed structure of RbPmSO, with properties calculated at the PBE-GGA level.

**Spin magnetization**: 0.002 μB per cell
**SG**: No. 4

Cell: 5.8697 5.8638 11.7937 Å, 90.00 104.18 90.00°
Positions (direct):
Rb 0.0549 0.6116 0.6049
Rb 0.4458 0.6118 0.3958
O 0.2502 0.6133 0.9999
Rb 0.9451 0.1116 0.3951
Pm 0.9521 0.3636 0.9032
Pm 0.4528 0.8631 0.9032
S 0.6105 0.6119 0.7181
S 0.1100 0.1115 0.7180
O 0.7498 0.1133 0.0001
Pm 0.5472 0.3631 0.0968
Pm 0.0479 0.8636 0.0968
O 0.7503 0.6132 0.0000
Rb 0.5542 0.1118 0.6042
O 0.2497 0.1132 0.0000
S 0.3895 0.1119 0.2819
S 0.8900 0.6116 0.2820

***

Which one sits at the top of the stability order? run b does.

***

Run a
Below is a relaxed structure of Pu, with properties calculated at the PBE-GGA level.

**Spin magnetization**: 5.686 μB per cell
**SG**: No. 139

Cell: 3.3338 3.3338 3.3338 Å, 118.55 118.55 92.53°
Positions (direct):
Pu 0.0000 0.0000 0.0000

***

Run b
Below is a relaxed structure of Pu, with properties calculated at the PBE-GGA level.

**Spin magnetization**: 17.100 μB per cell
**SG**: No. 166

Cell: 3.3874 3.3874 8.3010 Å, 101.77 78.23 120.00°
Positions (direct):
Pu 0.2223 0.7777 0.3331
Pu 0.0000 0.0000 0.0000
Pu 0.7777 0.2223 0.6669

***

Which one sits at the top of the stability order? run a does.

***

Run a
Below is a relaxed structure of TmScNO, with properties calculated at the PBE-GGA level.

**Spin magnetization**: 0.042 μB per cell
**SG**: No. 51

Cell: 3.8038 4.5935 6.5757 Å, 90.00 90.00 90.00°
Positions (direct):
O 0.5000 0.9384 0.8163
N 0.0000 0.9386 0.3450
Sc 0.0000 0.4385 0.3373
Sc 0.0000 0.9385 0.6627
Tm 0.5000 0.4385 0.8313
Tm 0.5000 0.9385 0.1687
O 0.5000 0.4384 0.1837
N 0.0000 0.4386 0.6550

***

Run b
Below is a relaxed structure of TmScNO, with properties calculated at the PBE-GGA level.

**Spin magnetization**: 0.034 μB per cell
**SG**: No. 57

Cell: 6.2603 7.6862 4.7240 Å, 90.00 90.00 90.00°
Positions (direct):
Sc 0.9265 0.8828 0.5509
Tm 0.5766 0.3670 0.0506
N 0.9367 0.3644 0.0504
O 0.5971 0.8800 0.5505
N 0.4367 0.6356 0.0504
O 0.4029 0.1200 0.0505
O 0.9029 0.8800 0.0505
Sc 0.0735 0.1172 0.0509
N 0.0633 0.6356 0.5504
Sc 0.5735 0.8828 0.0509
N 0.5633 0.3644 0.5504
O 0.0971 0.1200 0.5505
Tm 0.0766 0.6330 0.0506
Sc 0.4265 0.1172 0.5509
Tm 0.9234 0.3670 0.5506
Tm 0.4234 0.6330 0.5506

***

Which one sits at the top of the stability order? run a does.

***

Run a
Below is a relaxed structure of TmTlB4, with properties calculated at the PBE-GGA level.

**Spin magnetization**: 0.001 μB per cell
**SG**: No. 71

Cell: 5.2126 5.2126 5.2126 Å, 144.18 118.64 73.13°
Positions (direct):
B 0.0881 0.7627 0.3254
Tl 0.0000 0.0000 0.0000
B 0.9119 0.2373 0.6746
B 0.5627 0.2373 0.3254
Tm 0.5000 0.5000 0.0000
B 0.4373 0.7627 0.6746

***

Run b
Below is a relaxed structure of TmTlB4, with properties calculated at the PBE-GGA level.

**Spin magnetization**: 0.012 μB per cell
**SG**: No. 191

Cell: 3.1919 3.1919 9.0093 Å, 90.00 90.00 120.00°
Positions (direct):
B 0.6667 0.3333 0.2943
Tl 0.0000 0.0000 0.0000
B 0.3333 0.6667 0.7057
Tm 0.0000 0.0000 0.5000
B 0.3333 0.6667 0.2943
B 0.6667 0.3333 0.7057

***

Which one sits at the top of the stability order? run a does.

***

Run a
Below is a relaxed structure of AgPbSO, with properties calculated at the PBE-GGA level.

**SG**: No. 29

Cell: 6.4036 7.7261 6.7927 Å, 90.00 90.00 90.00°
Positions (direct):
S 0.0799 0.6230 0.1996
O 0.1127 0.0740 0.0672
Ag 0.9352 0.3546 0.0591
O 0.3873 0.0740 0.5672
Pb 0.5778 0.8606 0.4241
Pb 0.4222 0.1394 0.9241
Ag 0.0648 0.6454 0.5591
O 0.8873 0.9260 0.5672
Pb 0.0778 0.1394 0.4241
Ag 0.5648 0.3546 0.5591
S 0.9201 0.3770 0.6996
O 0.6127 0.9260 0.0672
S 0.5799 0.3770 0.1996
Pb 0.9222 0.8606 0.9241
S 0.4201 0.6230 0.6996
Ag 0.4352 0.6454 0.0591

***

Run b
Below is a relaxed structure of AgPbSO, with properties calculated at the PBE-GGA level.

**SG**: No. 19

Cell: 6.4218 7.9580 8.5863 Å, 90.00 90.00 90.00°
Positions (direct):
S 0.0135 0.3728 0.3328
S 0.4865 0.6272 0.8328
Ag 0.2449 0.7232 0.0239
Pb 0.6494 0.3165 0.9051
O 0.9816 0.2985 0.9077
O 0.4816 0.2015 0.0922
S 0.9865 0.8728 0.1672
Ag 0.2551 0.2768 0.5239
S 0.5135 0.1272 0.6672
Ag 0.7551 0.2232 0.4761
Pb 0.8506 0.6835 0.4051
Pb 0.1494 0.1835 0.0949
O 0.5184 0.7015 0.4078
O 0.0184 0.7985 0.5923
Ag 0.7449 0.7768 0.9761
Pb 0.3506 0.8165 0.5949

***

Which one sits at the top of the stability order? run a does.

***

Run a
Below is a relaxed structure of LuBeAsOs, with properties calculated at the PBE-GGA level.

**Spin magnetization**: 0.000 μB per cell
**SG**: No. 216

Cell: 4.4806 4.4806 4.4806 Å, 60.00 60.00 60.00°
Positions (direct):
As 0.0000 0.0000 0.0000
Lu 0.5000 0.5000 0.5000
Be 0.7500 0.7500 0.7500
Os 0.2500 0.2500 0.2500

***

Run b
Below is a relaxed structure of LuBeAsOs, with properties calculated at the PBE-GGA level.

**Spin magnetization**: 0.002 μB per cell
**SG**: No. 216

Cell: 4.5182 4.5182 4.5182 Å, 60.00 60.00 60.00°
Positions (direct):
As 0.5000 0.5000 0.5000
Lu 0.2500 0.2500 0.2500
Os 0.0000 0.0000 0.0000
Be 0.7500 0.7500 0.7500

***

Which one sits at the top of the stability order? run a does.

***

Run a
Below is a relaxed structure of CsHfNO, with properties calculated at the PBE-GGA level.

**Spin magnetization**: 0.012 μB per cell
**SG**: No. 29

Cell: 6.4302 9.0417 5.9040 Å, 90.00 90.00 90.00°
Positions (direct):
Cs 0.0480 0.3636 0.0208
Hf 0.4107 0.9110 0.4974
Cs 0.9520 0.6364 0.5208
Hf 0.0893 0.9110 0.9974
N 0.8658 0.0397 0.1574
N 0.1342 0.9603 0.6574
Cs 0.4520 0.3636 0.5208
Cs 0.5480 0.6364 0.0208
N 0.3658 0.9603 0.1574
O 0.4697 0.7045 0.5268
Hf 0.5893 0.0890 0.9974
N 0.6342 0.0397 0.6574
O 0.0303 0.7045 0.0268
O 0.5303 0.2955 0.0268
Hf 0.9107 0.0890 0.4974
O 0.9697 0.2955 0.5268

***

Run b
Below is a relaxed structure of CsHfNO, with properties calculated at the PBE-GGA level.

**Spin magnetization**: 0.001 μB per cell
**SG**: No. 26

Cell: 3.6077 6.4486 7.4732 Å, 90.00 90.00 90.00°
Positions (direct):
Hf 0.0000 0.5007 0.3454
Hf 0.0000 0.0007 0.6546
O 0.5000 0.4954 0.2119
Cs 0.5000 0.0007 0.2091
O 0.5000 0.9954 0.7881
N 0.0000 0.2572 0.5081
N 0.0000 0.7572 0.4919
Cs 0.5000 0.5007 0.7909

***

Which one sits at the top of the stability order? run a does.